TbMoBrO4: optimized geometry, PBE with a Hubbard U.

Output
Polymorph energy (0 for the lowest one)   0.000 eV/atom
Crystal system   triclinic

Unit cell a=7.0746 b=7.3729 c=10.9977 alpha=103.20 beta=107.79 gamma=95.09
Closest atoms and distances in Å follow each position.
Atoms (fractional coordinates):
Tb (0.1231, 0.3375, 0.2321)  6 O 2.28-2.43
Tb (0.1652, 0.0968, 0.7290)  4 O 2.29-2.44
Tb (0.8348, 0.9032, 0.2710)  4 O 2.29-2.44
Tb (0.8769, 0.6625, 0.7679)  6 O 2.28-2.43
Mo (0.2266, 0.8187, 0.1347)  4 O 1.78-1.85
Mo (0.2710, 0.5820, 0.6276)  4 O 1.78-1.86
Mo (0.7290, 0.4180, 0.3724)  4 O 1.78-1.86
Mo (0.7734, 0.1813, 0.8653)  4 O 1.78-1.85
Br (0.2351, 0.9871, 0.4790)  2 Tb 2.89-2.95, 1 O 3.09
Br (0.3058, 0.2782, 0.0124)  2 Tb 2.91-3.04, 3 O 3.18-3.24
Br (0.6942, 0.7218, 0.9876)  2 Tb 2.91-3.04, 3 O 3.18-3.24
Br (0.7649, 0.0129, 0.5210)  2 Tb 2.89-2.95, 1 O 3.09
O (0.0960, 0.0117, 0.1888)  1 Mo 1.85
O (0.1516, 0.6306, 0.1975)  1 Mo 1.79
O (0.1545, 0.7408, 0.9591)  1 Mo 1.78
O (0.1546, 0.7743, 0.7023)  1 Mo 1.86
O (0.1731, 0.5016, 0.4503)  1 Mo 1.79
O (0.2234, 0.3909, 0.6948)  1 Mo 1.78
O (0.4644, 0.3494, 0.3262)  1 Mo 1.78
O (0.4927, 0.8901, 0.2034)  1 Mo 1.78
O (0.5073, 0.1099, 0.7966)  1 Mo 1.78
O (0.5356, 0.6506, 0.6738)  1 Mo 1.78
O (0.7766, 0.6091, 0.3052)  1 Mo 1.78
O (0.8269, 0.4984, 0.5497)  1 Mo 1.79
O (0.8454, 0.2257, 0.2977)  1 Mo 1.86
O (0.8455, 0.2592, 0.0409)  1 Mo 1.78
O (0.8484, 0.3694, 0.8025)  1 Mo 1.79
O (0.9040, 0.9883, 0.8112)  1 Mo 1.85